{
  "formula": "Y2ZnSi3Ir4",
  "functional": "GGA-PBE",
  "state": "optimized geometry",
  "spacegroup": "P-4m2",
  "rho_g_cm3": 10.641,
  "raw_formation_energy_mev_per_atom": -940,
  "crystal_system": "tetragonal",
  "lattice_angstrom": [[-1.185, 0.124, -3.952], [1.111, -3.949, -0.457], [-9.231, -2.906, 2.676]],
  "species": ["Ir", "Ir", "Ir", "Zn", "Y", "Ir", "Si", "Y", "Si", "Si"],
  "frac_coords": [[0.500, 0.000, 0.638], [0.000, 0.500, 0.362], [0.000, 0.000, 0.000], [0.500, 0.500, 0.500], [0.000, 0.500, 0.749], [0.500, 0.500, 0.000], [0.000, 0.500, 0.128], [0.500, 0.000, 0.251], [0.500, 0.000, 0.872], [0.000, 0.000, 0.500]]
}